Record 1
{
  "formula": "Pm8Pr5Tm",
  "functional": "PBE",
  "state": "relaxed",
  "dos_at_fermi_per_ev_fu": 20.44,
  "space_group": "I-4, No. 82",
  "density_g_cm3": 6.8,
  "magnetic_moment_mub_per_fu": 0.00,
  "formation_enthalpy_0k_ev_per_atom": 0.237,
  "lattice_angstrom": [[8.212, 0.000, -2.689], [-4.161, 6.964, -2.976], [0.110, 0.000, 8.640]],
  "species": ["Pm", "Pm", "Pm", "Pm", "Pm", "Pm", "Pm", "Pm", "Pr", "Pr", "Pr", "Pr", "Pr", "Tm"],
  "frac_coords": [[0.079, 0.741, 0.477], [0.661, 0.397, 0.921], [0.736, 0.259, 0.339], [0.564, 0.901, 0.831], [0.337, 0.267, 0.436], [0.523, 0.603, 0.264], [0.169, 0.733, 0.070], [0.930, 0.099, 0.663], [0.868, 0.896, 0.186], [0.814, 0.682, 0.710], [0.028, 0.318, 0.132], [0.290, 0.104, 0.972], [0.500, 0.000, 0.500], [0.250, 0.500, 0.750]]
}

***

Record 2
{
  "formula": "AlCdNiPd",
  "functional": "PBE",
  "state": "relaxed",
  "dos_at_fermi_per_ev_fu": 3.82,
  "space_group": "F-43m, No. 216",
  "density_g_cm3": 8.4,
  "magnetic_moment_mub_per_fu": 0.00,
  "formation_enthalpy_0k_ev_per_atom": -0.363,
  "lattice_angstrom": [[-0.719, 4.342, -0.071], [-4.026, 1.550, -0.871], [-2.368, 1.892, 3.192]],
  "species": ["Pd", "Al", "Ni", "Cd"],
  "frac_coords": [[0.500, 0.500, 0.500], [0.750, 0.750, 0.750], [0.000, 0.000, 0.000], [0.250, 0.250, 0.250]]
}

***

Record 3
{
  "formula": "HoB3H12",
  "functional": "PBE",
  "state": "relaxed",
  "dos_at_fermi_per_ev_fu": 0.00,
  "space_group": "R-3c, No. 167",
  "dft_energy_ev_per_atom": -4.37,
  "density_g_cm3": 2.2,
  "magnetic_moment_mub_per_fu": 0.00,
  "lattice_angstrom": [[2.253, 0.631, 7.323], [-0.430, -6.076, 4.691], [6.450, -3.505, 2.353]],
  "species": ["Ho", "Ho", "H", "H", "H", "H", "H", "H", "H", "H", "H", "H", "H", "H", "H", "H", "H", "H", "H", "H", "H", "H", "H", "H", "H", "H", "B", "B", "B", "B", "B", "B"],
  "frac_coords": [[0.582, 0.582, 0.254], [0.082, 0.082, 0.754], [0.485, 0.302, 0.348], [0.676, 0.297, 0.535], [0.802, 0.985, 0.848], [0.862, 0.298, 0.160], [0.679, 0.862, 0.160], [0.367, 0.988, 0.473], [0.302, 0.866, 0.348], [0.798, 0.362, 0.660], [0.867, 0.672, 0.973], [0.297, 0.492, 0.535], [0.176, 0.992, 0.035], [0.488, 0.867, 0.973], [0.179, 0.798, 0.660], [0.992, 0.797, 0.035], [0.985, 0.366, 0.848], [0.672, 0.488, 0.973], [0.988, 0.172, 0.473], [0.172, 0.367, 0.473], [0.492, 0.676, 0.535], [0.366, 0.802, 0.848], [0.362, 0.179, 0.660], [0.866, 0.485, 0.348], [0.797, 0.176, 0.035], [0.298, 0.679, 0.160], [0.332, 0.835, 0.004], [0.329, 0.335, 0.504], [0.829, 0.332, 0.004], [0.835, 0.829, 0.004], [0.832, 0.329, 0.504], [0.335, 0.832, 0.504]]
}